## Na6InSn (PBE)

Data for crystalline Na6InSn at its relaxed geometry.

Energy relative to the elements = -0.065 eV/atom
DFT total energy = -1.897 eV/atom
Total moment = 0.0 μB/cell

Lattice parameters (Å, degrees): 4.8834 4.8834 10.0202 90.00 90.00 90.00
With the nearest neighbours (Å) after each atom.
Space group P4/mmm (No. 123)
Asymmetric unit:
Na: 0.0000 0.0000 0.0000  8 Na 3.44, 4 Sn 3.45
Na: 0.0000 0.0000 0.5000  4 In 3.45, 8 Na 3.56
Na: 0.0000 0.5000 0.2417  2 Sn 3.44, 8 Na 3.44-3.56, 2 In 3.56
In: 0.5000 0.5000 0.5000  12 Na 3.45-3.56
Sn: 0.5000 0.5000 0.0000  12 Na 3.44-3.45

## La4Pm3Tm (PBE)

Data for crystalline La4Pm3Tm at its relaxed geometry.

Energy relative to the elements = 0.019 eV/atom
DFT total energy = -4.785 eV/atom
Total moment = 0.0 μB/cell

Lattice parameters (Å, degrees): 24.1505 3.6820 6.3266 90.00 94.99 90.00
With the nearest neighbours (Å) after each atom.
Space group C2/m (No. 12)
Asymmetric unit:
La: 0.1237 0.0000 0.3714  1 Tm 3.64, 6 Pm 3.64-3.68, 5 La 3.68-3.72
La: 0.2491 0.0000 0.7503  9 La 3.65-3.72, 3 Pm 3.74-3.76
Pm: 0.0000 0.5000 0.5000  4 Pm 3.60-3.68, 4 La 3.66, 4 Tm 3.66
Pm: 0.1213 0.5000 0.8739  3 Pm 3.60-3.68, 2 Tm 3.61, 7 La 3.64-3.76
Tm: 0.0000 0.0000 0.0000  8 Pm 3.61-3.66, 2 La 3.64, 2 Tm 3.68

## PtAuS2Cl (PBE)

Data for crystalline PtAuS2Cl at its relaxed geometry.

DFT total energy = -3.293 eV/atom
Uncorrected formation energy = 0.591 eV/atom
Total moment = 0.0 μB/cell

Lattice parameters (Å, degrees): 4.7139 4.7139 4.8726 90.00 90.00 90.00
With the nearest neighbours (Å) after each atom.
Space group P4/mmm (No. 123)
Asymmetric unit:
Pt: 0.0000 0.0000 0.0000  4 S 2.36, 2 Cl 2.44
Au: 0.5000 0.5000 0.5000  4 Cl 3.33, 8 S 3.39
S: 0.0000 0.5000 0.0000  2 Pt 2.36
Cl: 0.0000 0.0000 0.5000  2 Pt 2.44

## TaBeOs2 (PBE)

Data for crystalline TaBeOs2 at its relaxed geometry.

Energy relative to the elements = -0.043 eV/atom
DFT total energy = -9.552 eV/atom
Total moment = 0.0 μB/cell

Lattice parameters (Å, degrees): 2.8022 4.1486 5.0359 90.00 103.70 90.00
With the nearest neighbours (Å) after each atom.
Space group Pm (No. 6)
Asymmetric unit:
Ta: 0.0000 0.0000 0.0000  4 Os 2.54-2.69, 4 Be 2.69-2.80, 2 Ta 2.80
Be: 0.5595 0.5000 0.2287  4 Os 2.42-2.63, 2 Ta 2.69
Os: 0.2030 0.5000 0.7032  3 Be 2.60-2.80, 6 Os 2.69-2.80, 2 Ta 2.69
Os: 0.5678 0.0000 0.4754  2 Be 2.42, 2 Ta 2.54-2.63, 2 Os 2.69

## Ac4Ga4Ge (PBE)

Data for crystalline Ac4Ga4Ge at its relaxed geometry.

Energy relative to the elements = -0.391 eV/atom
DFT total energy = -4.076 eV/atom
Total moment = 0.0 μB/cell

Lattice parameters (Å, degrees): 9.4020 9.4020 6.0172 90.00 90.00 90.00
With the nearest neighbours (Å) after each atom.
Space group P4_2/n (No. 86, origin choice 2)
Asymmetric unit:
Ac: 0.0617 0.8325 0.1422  1 Ge 3.10, 3 Ga 3.27-3.41
Ga: 0.0883 0.1816 0.3677  2 Ga 2.73, 1 Ge 2.83
Ge: 0.2500 0.2500 0.7500  4 Ga 2.83, 4 Ac 3.10

## RbInI2 (PBE)

Data for crystalline RbInI2 at its relaxed geometry.

DFT total energy = -2.619 eV/atom
Uncorrected formation energy = -0.918 eV/atom
Total moment = 0.0 μB/cell

Lattice parameters (Å, degrees): 4.3579 4.3579 8.6932 90.00 90.00 90.00
With the nearest neighbours (Å) after each atom.
Space group P4/mmm (No. 123)
Asymmetric unit:
Rb: 0.0000 0.0000 0.0000  8 I 3.82
In: 0.0000 0.0000 0.5000  8 I 3.72
I: 0.5000 0.5000 0.2596  4 In 3.72, 4 Rb 3.82

## K3Be2F7 (PBE)

Data for crystalline K3Be2F7 at its relaxed geometry.

DFT total energy = -4.810 eV/atom
Uncorrected formation energy = -2.823 eV/atom
Total moment = 0.0 μB/cell

Lattice parameters (Å, degrees): 3.9169 20.2913 3.6997 90.00 90.00 90.00
With the nearest neighbours (Å) after each atom.
Space group Cmmm (No. 65)
Asymmetric unit:
K: 0.0000 0.0000 0.0000  12 F 2.61-2.69
K: 0.0000 0.1808 0.0000  8 F 2.59-2.70
Be: 0.0000 0.4085 0.5000  4 F 1.69-1.86
F: 0.0000 0.0911 0.5000  2 Be 1.96
F: 0.0000 0.3253 0.5000  1 Be 1.69
F: 0.0000 0.4099 0.0000  2 Be 1.85
F: 0.0000 0.5000 0.5000  2 Be 1.86

## AcNdAgRh (PBE)

Data for crystalline AcNdAgRh at its relaxed geometry.

Energy relative to the elements = -0.388 eV/atom
DFT total energy = -5.158 eV/atom
Total moment = 0.0 μB/cell

Lattice parameters (Å, degrees): 7.4750 7.4750 7.4750 90.00 90.00 90.00
With the nearest neighbours (Å) after each atom.
Space group F-43m (No. 216)
Asymmetric unit:
Ac: 0.0000 0.0000 0.0000  4 Ag 3.24, 4 Rh 3.24
Nd: 0.0000 0.0000 0.5000  4 Rh 3.24, 4 Ag 3.24
Ag: 0.2500 0.2500 0.2500  4 Ac 3.24, 4 Nd 3.24
Rh: 0.2500 0.2500 0.7500  4 Ac 3.24, 4 Nd 3.24